1.
# K2RbCdBr5

Crystalline K2RbCdBr5 at its relaxed geometry (PBE, Alexandria).

Lattice parameters (Å, degrees): 10.226 10.226 10.226 127.06 127.06 78.15
Fractional positions:
K 0.160 0.660 0.821
K 0.340 0.160 0.500
K 0.660 0.840 0.500
K 0.840 0.340 0.179
Rb 0.250 0.250 0.000
Rb 0.750 0.750 0.000
Cd 0.250 0.750 0.500
Cd 0.750 0.250 0.500
Br 0.000 0.000 0.000
Br 0.011 0.201 0.500
Br 0.201 0.701 0.190
Br 0.299 0.489 0.500
Br 0.489 0.989 0.190
Br 0.500 0.500 0.000
Br 0.511 0.011 0.810
Br 0.701 0.511 0.500
Br 0.799 0.299 0.810
Br 0.989 0.799 0.500

## Properties
For the energy relative to the elements, uncorrected, the calculation gives -1439 meV/atom. For the total energy, the calculation gives -2.822 eV per atom. As for the space-group type: No. 140.


2.
# KRb2CdBr6

Crystalline KRb2CdBr6 at its relaxed geometry (PBE, Alexandria).

Lattice parameters (Å, degrees): 8.295 8.295 8.295 60.00 60.00 60.00
Fractional positions:
K 0.000 0.000 0.000
Rb 0.250 0.250 0.250
Rb 0.750 0.750 0.750
Cd 0.500 0.500 0.500
Br 0.265 0.265 0.735
Br 0.265 0.735 0.265
Br 0.265 0.735 0.735
Br 0.735 0.265 0.265
Br 0.735 0.265 0.735
Br 0.735 0.735 0.265

## Properties
For the energy relative to the elements, uncorrected, the calculation gives -1183 meV/atom. For the total energy, the calculation gives -2.581 eV per atom. As for the space-group type: No. 225.


3.
# KRb4Cd3Br12

Crystalline KRb4Cd3Br12 at its relaxed geometry (PBE, Alexandria).

Lattice parameters (Å, degrees): 9.916 9.916 9.916 109.47 109.47 109.47
Fractional positions:
K 0.000 0.000 0.000
Rb 0.000 0.000 0.500
Rb 0.000 0.500 0.000
Rb 0.500 0.000 0.000
Rb 0.500 0.500 0.500
Cd 0.000 0.500 0.500
Cd 0.500 0.000 0.500
Cd 0.500 0.500 0.000
Br 0.000 0.268 0.268
Br 0.000 0.732 0.732
Br 0.250 0.500 0.750
Br 0.250 0.750 0.500
Br 0.268 0.000 0.268
Br 0.268 0.268 0.000
Br 0.500 0.250 0.750
Br 0.500 0.750 0.250
Br 0.732 0.000 0.732
Br 0.732 0.732 0.000
Br 0.750 0.250 0.500
Br 0.750 0.500 0.250

## Properties
For the energy relative to the elements, uncorrected, the calculation gives -1193 meV/atom. For the total energy, the calculation gives -2.582 eV per atom. As for the space-group type: No. 229.


4.
# KRbCd2Br6

Crystalline KRbCd2Br6 at its relaxed geometry (PBE, Alexandria).

Lattice parameters (Å, degrees): 10.491 10.491 7.776 96.78 96.78 89.16
Fractional positions:
K 0.204 0.796 0.750
K 0.796 0.204 0.250
Rb 0.400 0.600 0.250
Rb 0.600 0.400 0.750
Cd 0.120 0.295 0.775
Cd 0.295 0.120 0.275
Cd 0.705 0.880 0.725
Cd 0.880 0.705 0.225
Br 0.087 0.207 0.082
Br 0.101 0.640 0.373
Br 0.207 0.087 0.582
Br 0.287 0.482 0.827
Br 0.360 0.899 0.127
Br 0.482 0.287 0.327
Br 0.518 0.713 0.673
Br 0.640 0.101 0.873
Br 0.713 0.518 0.173
Br 0.793 0.913 0.418
Br 0.899 0.360 0.627
Br 0.913 0.793 0.918

## Properties
For the energy relative to the elements, uncorrected, the calculation gives -1211 meV/atom. For the total energy, the calculation gives -2.604 eV per atom. As for the space-group type: No. 15.